DFT (PBE) results for a geometry-optimized Ac2NpP3Pt4 structure.

Lattice parameters (Å, degrees): 4.2803 4.2803 11.3424 90.00 90.00 90.00
Atoms (fractional coordinates):
Ac 0.0000 0.5000 0.2259
Ac 0.5000 0.0000 0.7741
Np 0.0000 0.0000 0.5000
P 0.0000 0.5000 0.8838
P 0.5000 0.0000 0.1162
P 0.5000 0.5000 0.5000
Pt 0.0000 0.0000 0.0000
Pt 0.0000 0.5000 0.6714
Pt 0.5000 0.0000 0.3286
Pt 0.5000 0.5000 0.0000

Results
M_tot in μB per formula unit: 4.26
Symmetry: No. 115
DFT formation energy in eV per atom: -0.842
Crystal system: tetragonal
Calculated volume in Å³/f.u.: 207.8